The following is a PBE-GGA calculation of a relaxed structure of KRb2NaSe, from the Alexandria database.

The structure in extended XYZ format:
```
5
Lattice="6.739 0.000 0.000 0.000 6.739 0.000 0.000 0.000 6.395" Properties=species:S:1:pos:R:3 pbc="T T T"
K 0.000 0.000 0.000
Rb 0.000 3.370 3.198
Rb 3.370 0.000 3.198
Na 3.370 3.370 0.000
Se 0.000 0.000 3.198
```

Computed properties:
crystal system: tetragonal
raw formation energy: -0.56 eV/atom
DOS at the Fermi energy: 0.12 states/eV per atom
calculated volume: 58.09 A^3/atom
excess energy over the best structure of this formula in the dataset: 0.0000 eV per atom